Record 1
Density functional theory data (PBE) for PrNd4Zn5 after structural relaxation.

a b c (Å): 3.6920 3.6920 18.4733
angles (deg): 90.00 90.00 90.00
With the nearest neighbours (Å) after each atom.
Space group P4/mmm (No. 123)
Asymmetric unit:
Pr 0.0000 0.0000 0.0000  8 Zn 3.22
Nd 0.0000 0.0000 0.2010  8 Zn 3.19
Nd 0.0000 0.0000 0.4002  8 Zn 3.20
Zn 0.5000 0.5000 0.1020  4 Nd 3.19, 4 Pr 3.22
Zn 0.5000 0.5000 0.3003  8 Nd 3.19-3.20
Zn 0.5000 0.5000 0.5000  8 Nd 3.20

Uncorrected energy   -3.325 eV/atom
Calculated density   6.89 g/cm3
M_tot   0.0 μB/cell



Record 2
Density functional theory data (PBE) for PrNdZr after structural relaxation.

a b c (Å): 3.4529 3.4529 15.4496
angles (deg): 90.00 90.00 90.00
With the nearest neighbours (Å) after each atom.
Space group I4mm (No. 107)
Asymmetric unit:
Pr 0.0000 0.0000 0.0000  4 Zr 3.43, 4 Pr 3.45, 4 Nd 3.84
Nd 0.0000 0.0000 0.6916  4 Zr 3.40, 4 Nd 3.45
Zr 0.0000 0.0000 0.3444  4 Nd 3.40, 4 Pr 3.43, 4 Zr 3.45

Energy relative to the lowest polymorph listed for this composition   0 meV/atom
Calculated density   6.79 g/cm3
M_tot   0.0 μB/cell



Record 3
Density functional theory data (PBE) for Pr2NdZr after structural relaxation.

a b c (Å): 3.5475 3.5475 35.0264
angles (deg): 90.00 90.00 120.00
With the nearest neighbours (Å) after each atom.
Space group R3m (No. 160, hexagonal axes)
Asymmetric unit:
Pr 0.0000 0.0000 0.0000  3 Zr 3.38, 6 Pr 3.55, 3 Nd 3.71
Pr 0.0000 0.0000 0.1792  3 Zr 3.40, 6 Pr 3.55, 3 Nd 3.79
Nd 0.0000 0.0000 0.4216  6 Nd 3.55, 6 Pr 3.71-3.79
Zr 0.0000 0.0000 0.5898  6 Pr 3.38-3.40, 6 Zr 3.55

Energy relative to the lowest polymorph listed for this composition   0 meV/atom
Calculated density   6.75 g/cm3
M_tot   0.0 μB/cell



Record 4
Density functional theory data (PBE) for Pr2NdZr after structural relaxation.

a b c (Å): 3.4589 3.4589 37.1361
angles (deg): 90.00 90.00 120.00
With the nearest neighbours (Å) after each atom.
Space group R-3m (No. 166, hexagonal axes)
Asymmetric unit:
Pr 0.0000 0.0000 0.0840  1 Zr 3.12, 6 Pr 3.46
Nd 0.0000 0.0000 0.5000  6 Nd 3.46, 6 Pr 3.66
Zr 0.0000 0.0000 0.0000  2 Pr 3.12, 6 Zr 3.46

Energy relative to the lowest polymorph listed for this composition   207 meV/atom
Calculated density   6.70 g/cm3
M_tot   0.0 μB/cell



Record 5
Density functional theory data (PBE) for PrNdZr after structural relaxation.

a b c (Å): 4.7856 4.7856 8.5143
angles (deg): 90.00 90.00 90.00
With the nearest neighbours (Å) after each atom.
Space group P4/nmm (No. 129, origin choice 2)
Asymmetric unit:
Pr 0.2500 0.2500 0.2132  5 Nd 3.38-3.67, 4 Zr 3.42
Nd 0.2500 0.2500 0.7821  5 Pr 3.38-3.67, 4 Zr 3.39
Zr 0.2500 0.7500 0.5000  4 Zr 3.38, 4 Nd 3.39, 4 Pr 3.42

Energy relative to the lowest polymorph listed for this composition   102 meV/atom
Calculated density   6.41 g/cm3
M_tot   0.0 μB/cell



Record 6
Density functional theory data (PBE) for Pr2NdZr after structural relaxation.

a b c (Å): 5.0341 5.0341 5.0138
angles (deg): 90.00 90.00 90.00
With the nearest neighbours (Å) after each atom.
Space group P4/mmm (No. 123)
Asymmetric unit:
Pr 0.0000 0.5000 0.0000  4 Zr 3.55, 4 Nd 3.55, 4 Pr 3.56
Nd 0.0000 0.0000 0.5000  8 Pr 3.55, 4 Zr 3.56
Zr 0.5000 0.5000 0.5000  8 Pr 3.55, 4 Nd 3.56

Energy relative to the lowest polymorph listed for this composition   15 meV/atom
Calculated density   6.76 g/cm3
M_tot   0.0 μB/cell